## i
# PBEsol OsPb3F, relaxed
# N(E_F) = 4.16 states/eV/cell
# space group = Pm-3m (221)
data_OsPb3F
_chemical_formula_sum 'Os1 Pb3 F1'
_space_group_name_H-M_alt 'P 1'
_space_group_IT_number 1
_space_group_name_Hall 'P 1'
_cell_length_a 4.8027
_cell_length_b 4.8027
_cell_length_c 4.8027
_cell_angle_alpha 90.00
_cell_angle_beta 90.00
_cell_angle_gamma 90.00
loop_
_atom_site_label
_atom_site_type_symbol
_atom_site_fract_x
_atom_site_fract_y
_atom_site_fract_z
_atom_site_occupancy
Os1 Os 0.0000 0.0000 0.0000 1
Pb1 Pb 0.0000 0.5000 0.5000 1
Pb2 Pb 0.5000 0.0000 0.5000 1
Pb3 Pb 0.5000 0.5000 0.0000 1
F1 F 0.5000 0.5000 0.5000 1

---

## ii
# PBEsol OsPb3F, relaxed
# N(E_F) = 4.42 states/eV/cell
# space group = Pm-3m (221)
data_OsPb3F
_chemical_formula_sum 'Os1 Pb3 F1'
_space_group_name_H-M_alt 'P 1'
_space_group_IT_number 1
_space_group_name_Hall 'P 1'
_cell_length_a 5.2026
_cell_length_b 5.2026
_cell_length_c 5.2026
_cell_angle_alpha 90.00
_cell_angle_beta 90.00
_cell_angle_gamma 90.00
loop_
_atom_site_label
_atom_site_type_symbol
_atom_site_fract_x
_atom_site_fract_y
_atom_site_fract_z
_atom_site_occupancy
Os1 Os 0.0000 0.0000 0.0000 1
Pb1 Pb 0.0000 0.0000 0.5000 1
Pb2 Pb 0.0000 0.5000 0.0000 1
Pb3 Pb 0.5000 0.0000 0.0000 1
F1 F 0.5000 0.5000 0.5000 1

---

Verdict on stability: i comes out at the bottom.

---

## i
# PBEsol Sc2PF, relaxed
# N(E_F) = 3.43 states/eV/cell
# space group = R-3m (166)
data_Sc2PF
_chemical_formula_sum 'Sc6 P3 F3'
_space_group_name_H-M_alt 'P 1'
_space_group_IT_number 1
_space_group_name_Hall 'P 1'
_cell_length_a 3.9087
_cell_length_b 3.9087
_cell_length_c 19.2620
_cell_angle_alpha 90.00
_cell_angle_beta 90.00
_cell_angle_gamma 120.00
loop_
_atom_site_label
_atom_site_type_symbol
_atom_site_fract_x
_atom_site_fract_y
_atom_site_fract_z
_atom_site_occupancy
Sc1 Sc 0.0000 0.0000 0.1052 1
Sc2 Sc 0.0000 0.0000 0.8948 1
Sc3 Sc 0.3333 0.6667 0.5614 1
Sc4 Sc 0.3333 0.6667 0.7719 1
Sc5 Sc 0.6667 0.3333 0.2281 1
Sc6 Sc 0.6667 0.3333 0.4386 1
P1 P 0.0000 0.0000 0.5000 1
P2 P 0.3333 0.6667 0.1667 1
P3 P 0.6667 0.3333 0.8333 1
F1 F 0.0000 0.0000 0.0000 1
F2 F 0.3333 0.6667 0.6667 1
F3 F 0.6667 0.3333 0.3333 1

---

## ii
# PBEsol Sc2PF, relaxed
# N(E_F) = 10.04 states/eV/cell
# space group = R-3m (166)
data_Sc2PF
_chemical_formula_sum 'Sc6 P3 F3'
_space_group_name_H-M_alt 'P 1'
_space_group_IT_number 1
_space_group_name_Hall 'P 1'
_cell_length_a 3.0310
_cell_length_b 3.0310
_cell_length_c 25.1776
_cell_angle_alpha 90.00
_cell_angle_beta 90.00
_cell_angle_gamma 120.00
loop_
_atom_site_label
_atom_site_type_symbol
_atom_site_fract_x
_atom_site_fract_y
_atom_site_fract_z
_atom_site_occupancy
Sc1 Sc 0.0000 0.0000 0.0993 1
Sc2 Sc 0.0000 0.0000 0.9007 1
Sc3 Sc 0.3333 0.6667 0.5674 1
Sc4 Sc 0.3333 0.6667 0.7659 1
Sc5 Sc 0.6667 0.3333 0.2341 1
Sc6 Sc 0.6667 0.3333 0.4326 1
P1 P 0.0000 0.0000 0.0000 1
P2 P 0.3333 0.6667 0.6667 1
P3 P 0.6667 0.3333 0.3333 1
F1 F 0.0000 0.0000 0.5000 1
F2 F 0.3333 0.6667 0.1667 1
F3 F 0.6667 0.3333 0.8333 1

---

Verdict on stability: ii comes out at the bottom.

---

## i
# PBEsol ZrPF2, relaxed
# N(E_F) = 8.92 states/eV/cell
# space group = I-42d (122)
data_ZrPF2
_chemical_formula_sum 'Zr4 P4 F8'
_space_group_name_H-M_alt 'P 1'
_space_group_IT_number 1
_space_group_name_Hall 'P 1'
_cell_length_a 3.8522
_cell_length_b 3.8522
_cell_length_c 15.1014
_cell_angle_alpha 90.00
_cell_angle_beta 90.00
_cell_angle_gamma 90.00
loop_
_atom_site_label
_atom_site_type_symbol
_atom_site_fract_x
_atom_site_fract_y
_atom_site_fract_z
_atom_site_occupancy
Zr1 Zr 0.0000 0.0000 0.0000 1
Zr2 Zr 0.0000 0.5000 0.2500 1
Zr3 Zr 0.5000 0.0000 0.7500 1
Zr4 Zr 0.5000 0.5000 0.5000 1
P1 P 0.0000 0.0000 0.5000 1
P2 P 0.0000 0.5000 0.7500 1
P3 P 0.5000 0.0000 0.2500 1
P4 P 0.5000 0.5000 0.0000 1
F1 F 0.1617 0.2500 0.1250 1
F2 F 0.2500 0.6617 0.3750 1
F3 F 0.2500 0.8383 0.8750 1
F4 F 0.3383 0.2500 0.6250 1
F5 F 0.6617 0.7500 0.6250 1
F6 F 0.7500 0.1617 0.8750 1
F7 F 0.7500 0.3383 0.3750 1
F8 F 0.8383 0.7500 0.1250 1

---

## ii
# PBEsol ZrPF2, relaxed
# N(E_F) = 6.22 states/eV/cell
# space group = R-3m (166)
data_ZrPF2
_chemical_formula_sum 'Zr3 P3 F6'
_space_group_name_H-M_alt 'P 1'
_space_group_IT_number 1
_space_group_name_Hall 'P 1'
_cell_length_a 3.6876
_cell_length_b 3.6876
_cell_length_c 14.3414
_cell_angle_alpha 90.00
_cell_angle_beta 90.00
_cell_angle_gamma 120.00
loop_
_atom_site_label
_atom_site_type_symbol
_atom_site_fract_x
_atom_site_fract_y
_atom_site_fract_z
_atom_site_occupancy
Zr1 Zr 0.0000 0.0000 0.0000 1
Zr2 Zr 0.3333 0.6667 0.6667 1
Zr3 Zr 0.6667 0.3333 0.3333 1
P1 P 0.0000 0.0000 0.5000 1
P2 P 0.3333 0.6667 0.1667 1
P3 P 0.6667 0.3333 0.8333 1
F1 F 0.0000 0.0000 0.2998 1
F2 F 0.0000 0.0000 0.7002 1
F3 F 0.3333 0.6667 0.3669 1
F4 F 0.3333 0.6667 0.9664 1
F5 F 0.6667 0.3333 0.0336 1
F6 F 0.6667 0.3333 0.6331 1

---

Verdict on stability: ii comes out at the bottom.

---

## i
# PBEsol PdSeF2, relaxed
# N(E_F) = 13.09 states/eV/cell
# space group = Fm-3m (225)
data_PdSeF2
_chemical_formula_sum 'Pd4 Se4 F8'
_space_group_name_H-M_alt 'P 1'
_space_group_IT_number 1
_space_group_name_Hall 'P 1'
_cell_length_a 5.8604
_cell_length_b 5.8604
_cell_length_c 5.8604
_cell_angle_alpha 90.00
_cell_angle_beta 90.00
_cell_angle_gamma 90.00
loop_
_atom_site_label
_atom_site_type_symbol
_atom_site_fract_x
_atom_site_fract_y
_atom_site_fract_z
_atom_site_occupancy
Pd1 Pd 0.0000 0.0000 0.0000 1
Pd2 Pd 0.0000 0.5000 0.5000 1
Pd3 Pd 0.5000 0.0000 0.5000 1
Pd4 Pd 0.5000 0.5000 0.0000 1
Se1 Se 0.0000 0.0000 0.5000 1
Se2 Se 0.0000 0.5000 0.0000 1
Se3 Se 0.5000 0.0000 0.0000 1
Se4 Se 0.5000 0.5000 0.5000 1
F1 F 0.2500 0.2500 0.2500 1
F2 F 0.2500 0.2500 0.7500 1
F3 F 0.2500 0.7500 0.2500 1
F4 F 0.2500 0.7500 0.7500 1
F5 F 0.7500 0.2500 0.2500 1
F6 F 0.7500 0.2500 0.7500 1
F7 F 0.7500 0.7500 0.2500 1
F8 F 0.7500 0.7500 0.7500 1

---

## ii
# PBEsol PdSeF2, relaxed
# N(E_F) = 10.96 states/eV/cell
# space group = R-3m (166)
data_PdSeF2
_chemical_formula_sum 'Pd3 Se3 F6'
_space_group_name_H-M_alt 'P 1'
_space_group_IT_number 1
_space_group_name_Hall 'P 1'
_cell_length_a 2.8374
_cell_length_b 2.8374
_cell_length_c 23.8482
_cell_angle_alpha 90.00
_cell_angle_beta 90.00
_cell_angle_gamma 120.00
loop_
_atom_site_label
_atom_site_type_symbol
_atom_site_fract_x
_atom_site_fract_y
_atom_site_fract_z
_atom_site_occupancy
Pd1 Pd 0.0000 0.0000 0.0000 1
Pd2 Pd 0.3333 0.6667 0.6667 1
Pd3 Pd 0.6667 0.3333 0.3333 1
Se1 Se 0.0000 0.0000 0.5000 1
Se2 Se 0.3333 0.6667 0.1667 1
Se3 Se 0.6667 0.3333 0.8333 1
F1 F 0.0000 0.0000 0.4191 1
F2 F 0.0000 0.0000 0.5809 1
F3 F 0.3333 0.6667 0.0858 1
F4 F 0.3333 0.6667 0.2475 1
F5 F 0.6667 0.3333 0.7525 1
F6 F 0.6667 0.3333 0.9142 1

---

Verdict on stability: i comes out at the bottom.

---

## i
# PBEsol Sc2PtF, relaxed
# N(E_F) = 6.20 states/eV/cell
# space group = R-3m (166)
data_Sc2PtF
_chemical_formula_sum 'Sc6 Pt3 F3'
_space_group_name_H-M_alt 'P 1'
_space_group_IT_number 1
_space_group_name_Hall 'P 1'
_cell_length_a 3.9652
_cell_length_b 3.9652
_cell_length_c 19.8235
_cell_angle_alpha 90.00
_cell_angle_beta 90.00
_cell_angle_gamma 120.00
loop_
_atom_site_label
_atom_site_type_symbol
_atom_site_fract_x
_atom_site_fract_y
_atom_site_fract_z
_atom_site_occupancy
Sc1 Sc 0.0000 0.0000 0.1016 1
Sc2 Sc 0.0000 0.0000 0.8984 1
Sc3 Sc 0.3333 0.6667 0.5650 1
Sc4 Sc 0.3333 0.6667 0.7683 1
Sc5 Sc 0.6667 0.3333 0.2317 1
Sc6 Sc 0.6667 0.3333 0.4350 1
Pt1 Pt 0.0000 0.0000 0.5000 1
Pt2 Pt 0.3333 0.6667 0.1667 1
Pt3 Pt 0.6667 0.3333 0.8333 1
F1 F 0.0000 0.0000 0.0000 1
F2 F 0.3333 0.6667 0.6667 1
F3 F 0.6667 0.3333 0.3333 1

---

## ii
# PBEsol Sc2PtF, relaxed
# N(E_F) = 20.01 states/eV/cell
# space group = Fm-3m (225)
data_Sc2PtF
_chemical_formula_sum 'Sc8 Pt4 F4'
_space_group_name_H-M_alt 'P 1'
_space_group_IT_number 1
_space_group_name_Hall 'P 1'
_cell_length_a 6.4181
_cell_length_b 6.4181
_cell_length_c 6.4181
_cell_angle_alpha 90.00
_cell_angle_beta 90.00
_cell_angle_gamma 90.00
loop_
_atom_site_label
_atom_site_type_symbol
_atom_site_fract_x
_atom_site_fract_y
_atom_site_fract_z
_atom_site_occupancy
Sc1 Sc 0.2500 0.2500 0.2500 1
Sc2 Sc 0.2500 0.2500 0.7500 1
Sc3 Sc 0.2500 0.7500 0.2500 1
Sc4 Sc 0.2500 0.7500 0.7500 1
Sc5 Sc 0.7500 0.2500 0.2500 1
Sc6 Sc 0.7500 0.2500 0.7500 1
Sc7 Sc 0.7500 0.7500 0.2500 1
Sc8 Sc 0.7500 0.7500 0.7500 1
Pt1 Pt 0.0000 0.0000 0.0000 1
Pt2 Pt 0.0000 0.5000 0.5000 1
Pt3 Pt 0.5000 0.0000 0.5000 1
Pt4 Pt 0.5000 0.5000 0.0000 1
F1 F 0.0000 0.0000 0.5000 1
F2 F 0.0000 0.5000 0.0000 1
F3 F 0.5000 0.0000 0.0000 1
F4 F 0.5000 0.5000 0.5000 1

---

Verdict on stability: ii comes out at the bottom.

---

## i
# PBEsol Sc3ReF, relaxed
# N(E_F) = 4.73 states/eV/cell
# space group = Pm-3m (221)
data_Sc3ReF
_chemical_formula_sum 'Sc3 Re1 F1'
_space_group_name_H-M_alt 'P 1'
_space_group_IT_number 1
_space_group_name_Hall 'P 1'
_cell_length_a 5.0302
_cell_length_b 5.0302
_cell_length_c 5.0302
_cell_angle_alpha 90.00
_cell_angle_beta 90.00
_cell_angle_gamma 90.00
loop_
_atom_site_label
_atom_site_type_symbol
_atom_site_fract_x
_atom_site_fract_y
_atom_site_fract_z
_atom_site_occupancy
Sc1 Sc 0.0000 0.0000 0.5000 1
Sc2 Sc 0.0000 0.5000 0.0000 1
Sc3 Sc 0.5000 0.0000 0.0000 1
Re1 Re 0.0000 0.0000 0.0000 1
F1 F 0.5000 0.5000 0.5000 1

---

## ii
# PBEsol Sc3ReF, relaxed
# N(E_F) = 4.43 states/eV/cell
# space group = Pm-3m (221)
data_Sc3ReF
_chemical_formula_sum 'Sc3 Re1 F1'
_space_group_name_H-M_alt 'P 1'
_space_group_IT_number 1
_space_group_name_Hall 'P 1'
_cell_length_a 4.3216
_cell_length_b 4.3216
_cell_length_c 4.3216
_cell_angle_alpha 90.00
_cell_angle_beta 90.00
_cell_angle_gamma 90.00
loop_
_atom_site_label
_atom_site_type_symbol
_atom_site_fract_x
_atom_site_fract_y
_atom_site_fract_z
_atom_site_occupancy
Sc1 Sc 0.0000 0.0000 0.5000 1
Sc2 Sc 0.0000 0.5000 0.0000 1
Sc3 Sc 0.5000 0.0000 0.0000 1
Re1 Re 0.5000 0.5000 0.5000 1
F1 F 0.0000 0.0000 0.0000 1

---

Verdict on stability: i comes out at the bottom.